## NaZn2Au (PBE-GGA)

Data for an optimized crystal structure of NaZn2Au.

Output
For the formation energy, the calculation gives -0.01 eV/atom. For the calculated volume, the calculation gives 421.99 Å³ per cell. As for the total energy: -1.80 eV/atom.

CIF file:
```
data_NaZn2Au
_cell_length_a 4.846
_cell_length_b 4.846
_cell_length_c 17.968
_cell_angle_alpha 90.00
_cell_angle_beta 90.00
_cell_angle_gamma 90.00
_space_group_name_H-M_alt 'I -4 2 d'
_space_group_IT_number 122
_space_group_name_Hall 'I -4 2bw'
loop_
_atom_site_label
_atom_site_type_symbol
_atom_site_fract_x
_atom_site_fract_y
_atom_site_fract_z
_atom_site_occupancy
Na1 Na 0.000 0.000 0.000 1
Zn1 Zn 0.002 0.250 0.625 1
Au1 Au 0.000 0.000 0.500 1
```